1.
NdIn6Sn | GGA-PBE | relaxed

The structure belongs to space group P4/mmm (No. 123); the cell edges are 6.918, 6.918 and 4.474 Å and the angles 90.00°, 90.00° and 90.00°. Symmetry generates all atoms from Nd at (0.000, 0.000, 0.000), In at (0.000, 0.500, 0.000), In at (0.256, 0.256, 0.500) and Sn at (0.500, 0.500, 0.000).

The formation energy comes out at -0.165 eV per atom. As for the density: 7.38 g/cm3. The calculation puts the magnetization at 0.000 μB/atom. Its crystal system is tetragonal.

---

2.
Nd12In5Sn2 | GGA-PBE | relaxed

The structure belongs to space group C2/m (No. 12); the cell edges are 18.671, 7.047 and 9.484 Å and the angles 90.00°, 91.90° and 90.00°. Symmetry generates all atoms from Nd at (0.016, 0.000, 0.308), Nd at (0.062, 0.500, 0.208), Nd at (0.153, 0.254, 0.528), Nd at (0.164, 0.250, 0.941), In at (0.000, 0.500, 0.500), In at (0.209, 0.000, 0.250), In at (0.233, 0.500, 0.259) and Sn at (0.000, 0.201, 0.000).

The formation energy comes out at -0.255 eV per atom. As for the density: 6.77 g/cm3. The calculation puts the magnetization at 0.098 μB/atom. Its crystal system is monoclinic.